Entry 1:
# Ta2InNi (PBE, optimized geometry)
# total DFT energy (no corrections) = -7.871 eV per atom
# formation energy from the elements = 0.1850 eV per atom
data_Ta2InNi
_symmetry_space_group_name_H-M 'P 1'
_symmetry_Int_Tables_number 1
_symmetry_space_group_name_Hall 'P 1'
_cell_length_a 8.909
_cell_length_b 8.909
_cell_length_c 8.909
_cell_angle_alpha 19.96
_cell_angle_beta 19.96
_cell_angle_gamma 19.96
loop_
_atom_site_label
_atom_site_type_symbol
_atom_site_fract_x
_atom_site_fract_y
_atom_site_fract_z
Ta1 Ta 0.254 0.254 0.254
In1 In 0.492 0.492 0.492
Ni1 Ni 0.745 0.745 0.745
Ta2 Ta 0.009 0.009 0.009


Entry 2:
# Sc2MnPb (PBE, optimized geometry)
# total DFT energy (no corrections) = -6.361 eV per atom
# formation energy from the elements = 0.0247 eV per atom
data_Sc2MnPb
_symmetry_space_group_name_H-M 'P 1'
_symmetry_Int_Tables_number 1
_symmetry_space_group_name_Hall 'P 1'
_cell_length_a 4.834
_cell_length_b 4.834
_cell_length_c 4.834
_cell_angle_alpha 60.00
_cell_angle_beta 60.00
_cell_angle_gamma 60.00
loop_
_atom_site_label
_atom_site_type_symbol
_atom_site_fract_x
_atom_site_fract_y
_atom_site_fract_z
Mn1 Mn 0.500 0.500 0.500
Sc1 Sc 0.000 0.000 0.000
Pb1 Pb 0.750 0.750 0.750
Sc2 Sc 0.250 0.250 0.250


Entry 3:
# Co2SiAg (PBE, optimized geometry)
# total DFT energy (no corrections) = -5.475 eV per atom
# E_form (uncorrected) = 146 meV per atom
data_Co2SiAg
_symmetry_space_group_name_H-M 'P 1'
_symmetry_Int_Tables_number 1
_symmetry_space_group_name_Hall 'P 1'
_cell_length_a 2.700
_cell_length_b 3.337
_cell_length_c 5.856
_cell_angle_alpha 90.00
_cell_angle_beta 90.00
_cell_angle_gamma 90.00
loop_
_atom_site_label
_atom_site_type_symbol
_atom_site_fract_x
_atom_site_fract_y
_atom_site_fract_z
Co1 Co 0.000 0.000 0.047
Ag1 Ag 0.500 0.500 0.755
Co2 Co 0.500 0.500 0.255
Si1 Si 0.000 0.000 0.444